ZnInClF2: optimized geometry, PBE-GGA.

As for the energy relative to the elements, uncorrected: -1.591 eV per atom.

Cell and atoms, written as CIF:
```
data_ZnInClF2
_symmetry_space_group_name_H-M 'P 4/m m m'
_symmetry_Int_Tables_number 123
_symmetry_space_group_name_Hall '-P 4 2'
_cell_length_a 4.257
_cell_length_b 4.257
_cell_length_c 4.961
_cell_angle_alpha 90.00
_cell_angle_beta 90.00
_cell_angle_gamma 90.00
loop_
_atom_site_label
_atom_site_type_symbol
_atom_site_fract_x
_atom_site_fract_y
_atom_site_fract_z
Zn1 Zn 0.000 0.000 0.000
In1 In 0.500 0.500 0.500
Cl1 Cl 0.000 0.000 0.500
F1 F 0.000 0.500 0.000
```